# Cu4PtBr

An optimized crystal structure of Cu4PtBr (PBE, Alexandria via LeMat-Bulk). Values from VASP.

Output
crystal system	cubic
M_tot	0.0	μB per formula unit
space-group type	F-43m, No. 216
calculated total energy	-22.0	eV/f.u.
ΔE_f (raw)	0.343	eV/atom

Structure (Quantum ESPRESSO input):
```
&SYSTEM
  ibrav = 0, nat = 6, ntyp = 3
/
ATOMIC_SPECIES
Cu 63.55 Cu.upf
Pt 195.08 Pt.upf
Br 79.90 Br.upf
CELL_PARAMETERS angstrom
1.349 -4.768 0.355
0.556 -2.098 4.469
-3.267 -3.396 1.574
ATOMIC_POSITIONS angstrom
Cu 0.161 -6.228 2.579
Cu -2.139 -5.545 3.186
Cu -0.234 -4.898 4.629
Cu -0.511 -3.853 2.402
Pt -1.021 -7.696 4.799
Br 0.000 0.000 0.000
```